Compound: Tc2TeOsSe
Source: the Alexandria database
Functional: meta-GGA SCAN
Structure: single point on PBEsol structure

Results
Its space group is P4/mmm. The crystal system is tetragonal. The magnetic moment is 4.292 μB/f.u.

Cell lengths 4.7743, 4.8072, 4.8072 Å; angles 90.00, 90.00, 90.00 degrees
Closest atoms and distances in Å follow each position.
Fractional positions:
Os 0.5000 0.0000 0.0000  2 Te 2.39
Tc 0.0000 0.0000 0.5000  2 Te 2.40
Se 0.5000 0.5000 0.5000  8 Tc 3.39, 4 Os 3.40
Te 0.0000 0.0000 0.0000  2 Os 2.39, 4 Tc 2.40
Tc 0.0000 0.5000 0.0000  2 Te 2.40

Compound: CdSbTe2N
Source: the Alexandria database
Functional: meta-GGA SCAN
Structure: single point on PBEsol structure

Results
Its space group is P4/mmm. The crystal system is tetragonal. The magnetic moment is 2.257 μB/f.u.

Cell lengths 4.0733, 5.6221, 5.6221 Å; angles 90.00, 90.00, 90.00 degrees
Closest atoms and distances in Å follow each position.
Fractional positions:
Te 0.0000 0.0000 0.5000  2 Cd 2.81
Te 0.0000 0.5000 0.0000  2 Cd 2.81
Sb 0.5000 0.5000 0.5000  8 Te 3.47
Cd 0.0000 0.0000 0.0000  2 N 2.04
N 0.5000 0.0000 0.0000  2 Cd 2.04

Compound: Ca3Sb
Source: the Alexandria database
Functional: meta-GGA SCAN
Structure: single point on PBEsol structure

Results
Its space group is Pm-3m. The crystal system is cubic. The offset from the most stable computed form comes out at 0.0 meV per atom. The magnetic moment is 0.000 μB/f.u.

Cell lengths 4.9300, 4.9300, 4.9300 Å; angles 90.00, 90.00, 90.00 degrees
Closest atoms and distances in Å follow each position.
Fractional positions:
Ca 0.5000 0.0000 0.5000  4 Sb 3.49, 8 Ca 3.49
Ca 0.5000 0.5000 0.0000  4 Sb 3.49, 8 Ca 3.49
Sb 0.0000 0.0000 0.0000  12 Ca 3.49
Ca 0.0000 0.5000 0.5000  4 Sb 3.49, 8 Ca 3.49

Number 1: raw formation energy 2134 meV/atom. Number 2: raw formation energy 900 meV/atom. Number 3: raw formation energy -549 meV/atom.